1.
# Sr2InPbS4 GGA-PBE optimized geometry
data_Sr2InPbS4
_chemical_formula_sum 'Sr8 In4 Pb4 S16'
_symmetry_space_group_name_H-M 'I m m a'
_symmetry_Int_Tables_number 74
_symmetry_space_group_name_Hall '-I 2b 2'
_cell_length_a 8.452
_cell_length_b 8.492
_cell_length_c 11.981
_cell_angle_alpha 90.00
_cell_angle_beta 90.00
_cell_angle_gamma 90.00
loop_
_atom_site_label
_atom_site_type_symbol
_atom_site_fract_x
_atom_site_fract_y
_atom_site_fract_z
_atom_site_occupancy
Sr1 Sr 0.000 0.000 0.000 1
Sr2 Sr 0.250 0.250 0.250 1
In1 In 0.000 0.000 0.500 1
Pb1 Pb 0.250 0.250 0.750 1
S1 S 0.000 0.002 0.252 1
S2 S 0.245 0.250 0.499 1
# - density of states at the Fermi level (states/eV/cell) = 18.0
# - magnetization (μB/atom) = 0.00
# - VASP energy (eV/atom) = -4.518
# - uncorrected formation energy (eV/atom) = -1.23

2.
# Sr2InPbS5 GGA-PBE optimized geometry
data_Sr2InPbS5
_chemical_formula_sum 'Sr8 In4 Pb4 S20'
_symmetry_space_group_name_H-M 'C m c 21'
_symmetry_Int_Tables_number 36
_symmetry_space_group_name_Hall 'C 2c -2'
_cell_length_a 4.074
_cell_length_b 18.218
_cell_length_c 12.472
_cell_angle_alpha 90.00
_cell_angle_beta 90.00
_cell_angle_gamma 90.00
loop_
_atom_site_label
_atom_site_type_symbol
_atom_site_fract_x
_atom_site_fract_y
_atom_site_fract_z
_atom_site_occupancy
Sr1 Sr 0.000 0.107 0.000 1
Sr2 Sr 0.000 0.126 0.633 1
In1 In 0.000 0.444 0.769 1
Pb1 Pb 0.000 0.222 0.350 1
S1 S 0.000 0.047 0.384 1
S2 S 0.000 0.277 0.006 1
S3 S 0.000 0.314 0.690 1
S4 S 0.000 0.367 0.321 1
S5 S 0.000 0.496 0.094 1
# - density of states at the Fermi level (states/eV/cell) = 16.8
# - magnetization (μB/atom) = 0.00
# - VASP energy (eV/atom) = -4.539
# - uncorrected formation energy (eV/atom) = -1.16

3.
# Ta2InPbS GGA-PBE optimized geometry
data_Ta2InPbS
_chemical_formula_sum 'Ta2 In1 Pb1 S1'
_symmetry_space_group_name_H-M 'P 4/m m m'
_symmetry_Int_Tables_number 123
_symmetry_space_group_name_Hall '-P 4 2'
_cell_length_a 5.255
_cell_length_b 5.255
_cell_length_c 4.791
_cell_angle_alpha 90.00
_cell_angle_beta 90.00
_cell_angle_gamma 90.00
loop_
_atom_site_label
_atom_site_type_symbol
_atom_site_fract_x
_atom_site_fract_y
_atom_site_fract_z
_atom_site_occupancy
Ta1 Ta 0.000 0.500 0.000 1
In1 In 0.000 0.000 0.000 1
Pb1 Pb 0.500 0.500 0.500 1
S1 S 0.000 0.000 0.500 1
# - density of states at the Fermi level (states/eV/cell) = 7.0
# - magnetization (μB/atom) = 0.00
# - VASP energy (eV/atom) = -5.097
# - uncorrected formation energy (eV/atom) = 1.76

4.
# TbIn2PbS4 GGA-PBE optimized geometry
data_TbIn2PbS4
_chemical_formula_sum 'Tb1 In2 Pb1 S4'
_symmetry_space_group_name_H-M 'P 1 2/m 1'
_symmetry_Int_Tables_number 10
_symmetry_space_group_name_Hall '-P 2y'
_cell_length_a 7.263
_cell_length_b 4.025
_cell_length_c 7.353
_cell_angle_alpha 90.00
_cell_angle_beta 108.15
_cell_angle_gamma 90.00
loop_
_atom_site_label
_atom_site_type_symbol
_atom_site_fract_x
_atom_site_fract_y
_atom_site_fract_z
_atom_site_occupancy
Tb1 Tb 0.000 0.000 0.000 1
In1 In 0.500 0.000 0.500 1
In2 In 0.500 0.500 0.000 1
Pb1 Pb 0.000 0.500 0.500 1
S1 S 0.225 0.500 0.216 1
S2 S 0.247 0.000 0.776 1
# - density of states at the Fermi level (states/eV/cell) = 3.3
# - magnetization (μB/atom) = 0.00
# - VASP energy (eV/atom) = -4.677
# - uncorrected formation energy (eV/atom) = -0.89